NbBiPd2, optimized geometry, DFT PBE; density = 10.6 g/cm³; calculated formation energy = 109 meV/atom
1.0
7.498 0.000 0.000
0.000 7.498 0.000
3.749 3.749 2.859
Nb Bi Pd
2 2 4
direct
0.500 0.500 0.000
0.250 0.750 0.500
0.000 0.000 0.000
0.750 0.250 0.500
0.610 0.125 0.250
0.140 0.625 0.250
0.375 0.390 0.750
0.875 0.860 0.750